Below is an optimized crystal structure of TlGePd2, with properties calculated at the PBE level.

a b c (Å): 8.6778 8.6778 8.6778
angles (deg): 20.93 20.93 20.93
Positions (direct):
Tl 0.0000 0.0000 0.0000
Ge 0.5000 0.5000 0.5000
Pd 0.2395 0.2395 0.2395
Pd 0.7605 0.7605 0.7605

Formation enthalpy at 0 K, eV/atom: -0.17
Symmetry: No. 166